Record 1
The following is a PBE calculation of a relaxed La8Nd2In crystal, from the Alexandria database.

Cell: 5.7892 9.2114 9.0870 Å, 119.32 108.57 90.00°
Last column: nearest neighbours and their distance in Å.
Sites, in units of the cell vectors:
La: 0.0731 0.7176 0.1462  7 La 3.45-3.80, 1 Nd 3.45
La: 0.4219 0.5735 0.8438  3 Nd 3.37-3.71, 1 In 3.43, 3 La 3.58-3.65
La: 0.5781 0.4265 0.1562  3 Nd 3.37-3.71, 1 In 3.43, 3 La 3.58-3.65
La: 0.3217 0.0674 0.6433  1 In 3.43, 5 La 3.45-3.80, 1 Nd 3.74
La: 0.9269 0.2824 0.8538  7 La 3.45-3.80, 1 Nd 3.45
La: 0.8767 0.8428 0.7533  2 In 3.44, 3 Nd 3.51-3.70, 2 La 3.68-3.71
La: 0.1233 0.1572 0.2467  2 In 3.44, 3 Nd 3.51-3.70, 2 La 3.68-3.71
La: 0.6783 0.9326 0.3567  1 In 3.43, 5 La 3.45-3.80, 1 Nd 3.74
In: 0.5000 0.0000 0.0000  8 La 3.43-3.44
Nd: 0.7654 0.3981 0.5309  8 La 3.37-3.74, 2 Nd 3.64
Nd: 0.2346 0.6019 0.4691  8 La 3.37-3.74, 2 Nd 3.64

Properties
Calculated formation energy, meV/atom: -36
Total DFT energy (no corrections), eV/atom: -4.74
Space-group type: No. 12
D(E_F), states/eV/cell: 16.3


Record 2
The following is a PBE calculation of a relaxed La2NdIn3 crystal, from the Alexandria database.

Cell: 3.8247 6.6944 15.2203 Å, 90.00 97.22 90.00°
Last column: nearest neighbours and their distance in Å.
Sites, in units of the cell vectors:
In: 0.5771 0.5138 0.1542  2 In 3.16-3.53, 1 Nd 3.29, 6 La 3.36-3.54
In: 0.5771 0.9862 0.1542  2 In 3.16-3.53, 1 Nd 3.29, 6 La 3.36-3.54
In: 0.4229 0.4862 0.8458  2 In 3.16-3.53, 1 Nd 3.29, 6 La 3.36-3.54
In: 0.7443 0.7500 0.4885  2 Nd 3.24, 2 La 3.35
In: 0.4229 0.0138 0.8458  2 In 3.16-3.53, 1 Nd 3.29, 6 La 3.36-3.54
In: 0.2557 0.2500 0.5115  2 Nd 3.24, 2 La 3.35
La: 0.9935 0.7500 0.9870  8 In 3.36-3.54, 2 La 3.37
La: 0.0065 0.2500 0.0130  8 In 3.36-3.54, 2 La 3.37
La: 0.8468 0.2500 0.6937  6 In 3.35-3.38
La: 0.1532 0.7500 0.3063  6 In 3.35-3.38
Nd: 0.6691 0.2500 0.3382  4 In 3.24-3.29
Nd: 0.3309 0.7500 0.6618  4 In 3.24-3.29

Properties
Calculated formation energy, meV/atom: -313
Total DFT energy (no corrections), eV/atom: -4.12
Space-group type: No. 63
D(E_F), states/eV/cell: 11.7


Record 3
The following is a PBE calculation of a relaxed La3Nd4In2 crystal, from the Alexandria database.

Cell: 4.9618 6.2174 10.6815 Å, 73.83 76.57 66.48°
Last column: nearest neighbours and their distance in Å.
Sites, in units of the cell vectors:
In: 0.3371 0.1086 0.2171  5 La 3.49-3.60, 7 Nd 3.50-3.60
In: 0.6629 0.8914 0.7829  5 La 3.49-3.60, 7 Nd 3.50-3.60
Nd: 0.9880 0.3479 0.6762  3 Nd 3.46-3.71, 3 In 3.50-3.60, 6 La 3.53-3.66
Nd: 0.3304 0.4489 0.8904  4 Nd 3.46-3.50, 4 In 3.54-3.58, 4 La 3.56-3.70
Nd: 0.0120 0.6521 0.3238  3 Nd 3.46-3.71, 3 In 3.50-3.60, 6 La 3.53-3.66
Nd: 0.6696 0.5511 0.1096  4 Nd 3.46-3.50, 4 In 3.54-3.58, 4 La 3.56-3.70
La: 0.0000 0.0000 0.0000  4 In 3.49, 8 Nd 3.53-3.58
La: 0.3274 0.7976 0.5475  3 La 3.39-3.73, 3 In 3.52-3.60, 6 Nd 3.61-3.70
La: 0.6726 0.2024 0.4525  3 La 3.39-3.73, 3 In 3.52-3.60, 6 Nd 3.61-3.70

Properties
Calculated formation energy, meV/atom: -226
Total DFT energy (no corrections), eV/atom: -4.60
Space-group type: No. 12
D(E_F), states/eV/cell: 10.7


Record 4
The following is a PBE calculation of a relaxed La3Nd2In3 crystal, from the Alexandria database.

Cell: 4.5848 5.1555 11.1970 Å, 103.31 101.81 90.00°
Last column: nearest neighbours and their distance in Å.
Sites, in units of the cell vectors:
Nd: 0.2647 0.7647 0.5294  2 In 3.26, 4 Nd 3.51, 2 La 3.56
Nd: 0.7353 0.2353 0.4706  2 In 3.26, 4 Nd 3.51, 2 La 3.56
La: 0.3802 0.3802 0.7604  6 In 3.43-3.45, 2 Nd 3.56, 2 La 3.63
La: 0.5000 0.0000 0.0000  8 In 3.45-3.53, 4 La 3.63
La: 0.6198 0.6198 0.2396  6 In 3.43-3.45, 2 Nd 3.56, 2 La 3.63
In: 0.0000 0.5000 0.0000  8 La 3.43-3.45, 4 In 3.73
In: 0.1263 0.1263 0.2526  2 Nd 3.26, 6 La 3.45-3.53
In: 0.8737 0.8737 0.7474  2 Nd 3.26, 6 La 3.45-3.53

Properties
Calculated formation energy, meV/atom: -376
Total DFT energy (no corrections), eV/atom: -4.44
Space-group type: No. 71
D(E_F), states/eV/cell: 7.9


Record 5
The following is a PBE calculation of a relaxed La3Nd2In3 crystal, from the Alexandria database.

Cell: 3.5183 9.0284 9.0284 Å, 120.00 90.00 90.00°
Last column: nearest neighbours and their distance in Å.
Sites, in units of the cell vectors:
La: 0.0000 0.2508 0.0000  2 Nd 3.44, 6 In 3.51-3.75, 2 La 3.52
La: 0.0000 0.0000 0.2508  2 Nd 3.44, 6 In 3.51-3.75, 2 La 3.52
La: 0.0000 0.7492 0.7492  2 Nd 3.44, 6 In 3.51-3.75, 2 La 3.52
In: 0.5000 0.6171 0.0000  4 Nd 3.32, 4 La 3.51, 2 In 3.52
In: 0.5000 0.0000 0.6171  4 Nd 3.32, 4 La 3.51, 2 In 3.52
In: 0.5000 0.3829 0.3829  4 Nd 3.32, 4 La 3.51, 2 In 3.52
Nd: 0.0000 0.6667 0.3333  6 In 3.32, 3 La 3.44, 2 Nd 3.52
Nd: 0.0000 0.3333 0.6667  6 In 3.32, 3 La 3.44, 2 Nd 3.52

Properties
Calculated formation energy, meV/atom: -354
Total DFT energy (no corrections), eV/atom: -4.42
Space-group type: No. 189
D(E_F), states/eV/cell: 9.1


Record 6
The following is a PBE calculation of a relaxed La7Nd12In crystal, from the Alexandria database.

Cell: 8.9707 8.9707 8.9707 Å, 89.23 89.23 89.23°
Last column: nearest neighbours and their distance in Å.
Sites, in units of the cell vectors:
Nd: 0.4565 0.1211 0.3447  6 Nd 3.60-3.97, 5 La 3.64-3.94
Nd: 0.8851 0.0057 0.3343  1 In 3.16, 2 La 3.30-3.42
Nd: 0.9943 0.6657 0.1149  1 In 3.16, 2 La 3.30-3.42
Nd: 0.8789 0.6553 0.5435  6 Nd 3.60-3.97, 5 La 3.64-3.94
Nd: 0.1149 0.9943 0.6657  1 In 3.16, 2 La 3.30-3.42
Nd: 0.3343 0.8851 0.0057  1 In 3.16, 2 La 3.30-3.42
Nd: 0.6657 0.1149 0.9943  1 In 3.16, 2 La 3.30-3.42
Nd: 0.5435 0.8789 0.6553  6 Nd 3.60-3.97, 5 La 3.64-3.94
Nd: 0.1211 0.3447 0.4565  6 Nd 3.60-3.97, 5 La 3.64-3.94
Nd: 0.0057 0.3343 0.8851  1 In 3.16, 2 La 3.30-3.42
Nd: 0.3447 0.4565 0.1211  6 Nd 3.60-3.97, 5 La 3.64-3.94
Nd: 0.6553 0.5435 0.8789  6 Nd 3.60-3.97, 5 La 3.64-3.94
In: 0.0000 0.0000 0.0000  6 Nd 3.16
La: 0.2105 0.6175 0.7715  6 Nd 3.30-3.65, 1 La 3.69
La: 0.2285 0.7895 0.3825  6 Nd 3.30-3.65, 1 La 3.69
La: 0.7715 0.2105 0.6175  6 Nd 3.30-3.65, 1 La 3.69
La: 0.7895 0.3825 0.2285  6 Nd 3.30-3.65, 1 La 3.69
La: 0.6175 0.7715 0.2105  6 Nd 3.30-3.65, 1 La 3.69
La: 0.5000 0.5000 0.5000  6 La 3.69, 6 Nd 3.72
La: 0.3825 0.2285 0.7895  6 Nd 3.30-3.65, 1 La 3.69

Properties
Calculated formation energy, meV/atom: 126
Total DFT energy (no corrections), eV/atom: -4.60
Space-group type: No. 148
D(E_F), states/eV/cell: 35.7


Record 7
The following is a PBE calculation of a relaxed La2Nd5In4 crystal, from the Alexandria database.

Cell: 3.6590 8.6267 12.5037 Å, 114.32 98.41 90.00°
Last column: nearest neighbours and their distance in Å.
Sites, in units of the cell vectors:
In: 0.0173 0.7063 0.0345  5 In 3.14-3.30, 4 Nd 3.29-3.49
In: 0.9827 0.2937 0.9655  5 In 3.14-3.30, 4 Nd 3.29-3.49
In: 0.5874 0.5582 0.1748  4 In 3.14-3.22, 4 Nd 3.35-3.39, 1 La 3.35
In: 0.4126 0.4418 0.8252  4 In 3.14-3.22, 4 Nd 3.35-3.39, 1 La 3.35
Nd: 0.1680 0.9094 0.3359  3 In 3.39-3.40, 3 La 3.50-3.68, 2 Nd 3.66
Nd: 0.1232 0.2899 0.2463  3 In 3.35-3.49, 3 La 3.39-3.70, 4 Nd 3.54-3.66
Nd: 0.5000 0.0000 0.0000  4 In 3.29, 6 Nd 3.54-3.66
Nd: 0.8320 0.0906 0.6641  3 In 3.39-3.40, 3 La 3.50-3.68, 2 Nd 3.66
Nd: 0.8768 0.7101 0.7537  3 In 3.35-3.49, 3 La 3.39-3.70, 4 Nd 3.54-3.66
La: 0.2665 0.3412 0.5331  1 In 3.35, 6 Nd 3.39-3.70, 4 La 3.66
La: 0.7335 0.6588 0.4669  1 In 3.35, 6 Nd 3.39-3.70, 4 La 3.66

Properties
Calculated formation energy, meV/atom: -104
Total DFT energy (no corrections), eV/atom: -4.16
Space-group type: No. 12
D(E_F), states/eV/cell: 10.6


Record 8
The following is a PBE calculation of a relaxed LaNd2In crystal, from the Alexandria database.

Cell: 4.9594 5.0375 5.0375 Å, 90.00 90.00 90.00°
Last column: nearest neighbours and their distance in Å.
Sites, in units of the cell vectors:
Nd: 0.0000 0.5000 0.0000  4 La 3.53, 4 In 3.53, 4 Nd 3.56
Nd: 0.0000 0.0000 0.5000  4 La 3.53, 4 In 3.53, 4 Nd 3.56
In: 0.5000 0.0000 0.0000  8 Nd 3.53, 4 La 3.56
La: 0.5000 0.5000 0.5000  8 Nd 3.53, 4 In 3.56

Properties
Calculated formation energy, meV/atom: -282
Total DFT energy (no corrections), eV/atom: -4.58
Space-group type: No. 123
D(E_F), states/eV/cell: 6.6


Record 9
The following is a PBE calculation of a relaxed La6Nd5In crystal, from the Alexandria database.

Cell: 5.1304 9.7585 9.7585 Å, 107.47 105.23 105.23°
Last column: nearest neighbours and their distance in Å.
Sites, in units of the cell vectors:
In: 0.0000 0.0000 0.0000  8 La 3.58-3.59, 4 Nd 3.68
Nd: 0.5000 0.8321 0.1679  8 La 3.59-3.77, 2 Nd 3.68, 2 In 3.68
Nd: 0.0000 0.6648 0.3352  4 Nd 3.65-3.68, 8 La 3.70-3.72
Nd: 0.0000 0.3352 0.6648  4 Nd 3.65-3.68, 8 La 3.70-3.72
Nd: 0.5000 0.1679 0.8321  8 La 3.59-3.77, 2 Nd 3.68, 2 In 3.68
Nd: 0.5000 0.5000 0.5000  4 Nd 3.65, 8 La 3.69-3.70
La: 0.7424 0.2423 0.2423  2 In 3.58-3.59, 4 La 3.62, 6 Nd 3.64-3.72
La: 0.7572 0.5949 0.9202  1 In 3.58, 7 Nd 3.59-3.77, 4 La 3.62-3.77
La: 0.7572 0.9202 0.5949  1 In 3.58, 7 Nd 3.59-3.77, 4 La 3.62-3.77
La: 0.2428 0.0798 0.4051  1 In 3.58, 7 Nd 3.59-3.77, 4 La 3.62-3.77
La: 0.2576 0.7577 0.7577  2 In 3.58-3.59, 4 La 3.62, 6 Nd 3.64-3.72
La: 0.2428 0.4051 0.0798  1 In 3.58, 7 Nd 3.59-3.77, 4 La 3.62-3.77

Properties
Calculated formation energy, meV/atom: -68
Total DFT energy (no corrections), eV/atom: -4.75
Space-group type: No. 71
D(E_F), states/eV/cell: 16.9


Record 10
The following is a PBE calculation of a relaxed LaNd2In crystal, from the Alexandria database.

Cell: 3.7577 3.7577 11.3563 Å, 80.48 80.48 60.00°
Last column: nearest neighbours and their distance in Å.
Sites, in units of the cell vectors:
Nd: 0.0754 0.0754 0.7738  3 In 3.33
Nd: 0.2582 0.2582 0.2253  3 In 3.32
La: 0.4998 0.4998 0.5006  6 Nd 3.74-3.76, 6 La 3.76
In: 0.6666 0.6666 0.0003  6 Nd 3.32-3.33

Properties
Calculated formation energy, meV/atom: -117
Total DFT energy (no corrections), eV/atom: -4.42
Space-group type: No. 160
D(E_F), states/eV/cell: 6.4


Which of these has the highest calculated formation energy? La7Nd12In